No. 1
Entry from the Alexandria database: crystalline Pm3NdBi2 at its relaxed geometry (GGA-PBE).

```
data_Pm3NdBi2
_space_group_name_H-M_alt 'P -4 m 2'
_space_group_IT_number 115
_space_group_name_Hall 'P -4 -2'
_cell_length_a 4.6455
_cell_length_b 4.6455
_cell_length_c 8.9750
_cell_angle_alpha 90.00
_cell_angle_beta 90.00
_cell_angle_gamma 90.00
loop_
_atom_site_label
_atom_site_fract_x
_atom_site_fract_y
_atom_site_fract_z
_atom_site_occupancy
Pm1 0.0000 0.0000 0.0000 1
Pm2 0.0000 0.5000 0.6470 1
Nd1 0.5000 0.5000 0.0000 1
Bi1 0.0000 0.5000 0.2821 1
```

Calculated values
ΔE to the lowest computed polymorph (meV/atom): 0
Formation enthalpy at 0 K (meV per atom): -647
Raw total energy (eV per atom): -5.111

---

No. 2
Entry from the Alexandria database: crystalline Mg5Ga at its relaxed geometry (GGA-PBE).

```
data_Mg5Ga
_space_group_name_H-M_alt 'A m m 2'
_space_group_IT_number 38
_space_group_name_Hall 'A 2 -2'
_cell_length_a 5.0943
_cell_length_b 3.2220
_cell_length_c 15.7684
_cell_angle_alpha 90.00
_cell_angle_beta 90.00
_cell_angle_gamma 90.00
loop_
_atom_site_label
_atom_site_fract_x
_atom_site_fract_y
_atom_site_fract_z
_atom_site_occupancy
Mg1 0.0000 0.0000 0.0000 1
Mg2 0.0000 0.0000 0.3195 1
Mg3 0.5000 0.0000 0.1125 1
Mg4 0.5000 0.0000 0.4418 1
Mg5 0.5000 0.0000 0.7732 1
Ga1 0.0000 0.0000 0.6602 1
```

Calculated values
ΔE to the lowest computed polymorph (meV/atom): 0
Formation enthalpy at 0 K (meV per atom): -54
Raw total energy (eV per atom): -1.887